Rb2H2Br2O: optimized geometry, PBE.

Computed properties:
E = -51.72 eV/cell
DOS(E_F) = 0.00 states/eV per atom
Size of the total moment = 0.00 μB/f.u.

Lattice parameters (Å, degrees): 9.7994 8.5709 4.4756 90.00 106.57 90.00
Space group C2/m (No. 12)
Unique sites:
Rb1 0.0000 0.2435 0.0000 x4
H1 0.1003 0.5000 0.4924 x4
Br1 0.2056 0.0000 0.6275 x4
O1 0.0000 0.5000 0.5000 x2

PmCu4Rh2: optimized geometry, PBE.

Computed properties:
E = -74.61 eV/cell
DOS(E_F) = 0.91 states/eV per atom
E_form = -0.2098 eV/atom
Size of the total moment = 0.11 μB/f.u.

Lattice parameters (Å, degrees): 8.2381 6.4303 5.1764 90.00 128.87 90.00
Space group C2/m (No. 12)
Unique sites:
Pm1 0.0000 0.0000 0.0000 x2
Cu1 0.1917 0.1915 0.6926 x8
Rh1 0.0011 0.5000 0.2513 x4

HfV2Re: optimized geometry, PBE.

Computed properties:
Excess energy over the best structure of this formula in the dataset = 28 meV/atom
E = -163.95 eV/cell
DOS(E_F) = 1.56 states/eV per atom
E_form = -0.0873 eV/atom
Size of the total moment = 0.00 μB/f.u.

Lattice parameters (Å, degrees): 6.2736 6.2736 6.2736 90.00 90.00 90.00
Space group Fm-3m (No. 225)
Unique sites:
Hf1 0.0000 0.0000 0.0000 x4
V1 0.2500 0.2500 0.2500 x8
Re1 0.0000 0.0000 0.5000 x4

Er2Pd2O7: optimized geometry, PBE.

Computed properties:
Excess energy over the best structure of this formula in the dataset = 0 meV/atom
E = -604.16 eV/cell
Raw formation energy = -1.94 eV per atom
Size of the total moment = 0.00 μB/f.u.

Lattice parameters (Å, degrees): 10.1965 10.1965 10.1965 90.00 90.00 90.00
Space group Fd-3m (No. 227, origin choice 2)
Unique sites:
Er1 0.0000 0.0000 0.0000 x16
Pd1 0.0000 0.0000 0.5000 x16
O1 0.0917 0.3750 0.8750 x48
O2 0.1250 0.1250 0.1250 x8

CaFe2Te: optimized geometry, PBE.

Computed properties:
Excess energy over the best structure of this formula in the dataset = 421 meV/atom
E = -83.38 eV/cell
DOS(E_F) = 0.72 states/eV per atom
Raw formation energy = 0.31 eV per atom
Size of the total moment = 5.42 μB/f.u.

Lattice parameters (Å, degrees): 6.7297 6.7297 6.7297 90.00 90.00 90.00
Space group F-43m (No. 216)
Unique sites:
Ca1 0.0000 0.0000 0.0000 x4
Fe1 0.0000 0.0000 0.5000 x4
Fe2 0.2500 0.2500 0.7500 x4
Te1 0.2500 0.2500 0.2500 x4

Al2AgBr: optimized geometry, PBE.

Computed properties:
Excess energy over the best structure of this formula in the dataset = 94 meV/atom
E = -11.63 eV/cell
DOS(E_F) = 0.31 states/eV per atom
Raw formation energy = 0.09 eV per atom
Size of the total moment = 0.00 μB/f.u.

Lattice parameters (Å, degrees): 3.2695 3.3258 7.4587 90.00 90.00 90.00
Space group Pmmm (No. 47)
Unique sites:
Al1 0.0000 0.0000 0.2189 x2
Ag1 0.5000 0.5000 0.0000 x1
Br1 0.5000 0.5000 0.5000 x1

NaEr2Hf: optimized geometry, PBE.

Computed properties:
Excess energy over the best structure of this formula in the dataset = 48 meV/atom
E = -58.94 eV/cell
DOS(E_F) = 0.91 states/eV per atom
E_form = 0.1877 eV/atom
Size of the total moment = 0.00 μB/f.u.

Lattice parameters (Å, degrees): 3.3546 3.3546 36.3422 90.00 90.00 120.00
Space group R-3m (No. 166, hexagonal axes)
Unique sites:
Na1 0.0000 0.0000 0.0000 x3
Er1 0.0000 0.0000 0.0957 x6
Hf1 0.0000 0.0000 0.5000 x3

TaAs2AuBr: optimized geometry, PBE.

Computed properties:
Excess energy over the best structure of this formula in the dataset = 0 meV/atom
E = -23.95 eV/cell
DOS(E_F) = 0.78 states/eV per atom
Raw formation energy = 0.43 eV per atom
Size of the total moment = 0.00 μB/f.u.

Lattice parameters (Å, degrees): 5.0501 5.0501 5.0235 90.00 90.00 90.00
Space group P4/mmm (No. 123)
Unique sites:
Ta1 0.0000 0.0000 0.0000 x1
As1 0.0000 0.5000 0.0000 x2
Au1 0.5000 0.5000 0.5000 x1
Br1 0.0000 0.0000 0.5000 x1